Record 1
CoTeSN2 | the Alexandria database | PBE-GGA | optimized geometry; offset from the most stable computed form = 560.3 meV per atom; total moment = 0.53 μB/atom
1.0
3.8703 0.0000 0.0000
0.0000 3.8703 0.0000
0.0000 0.0000 5.5119
Co Te S N
1 1 1 2
Direct
0.0000 0.0000 0.0000 Co
0.5000 0.5000 0.5000 Te
0.5000 0.5000 0.0000 S
0.0000 0.5000 0.5000 N
0.5000 0.0000 0.5000 N

=====

Record 2
TiCoS2N | the Alexandria database | PBE-GGA | optimized geometry; offset from the most stable computed form = 209.0 meV per atom; total moment = 0.75 μB/atom
1.0
4.7887 0.0000 0.0000
0.0000 4.7887 0.0000
0.0000 0.0000 3.7691
Ti Co S N
1 1 2 1
Direct
0.0000 0.0000 0.0000 Ti
0.5000 0.5000 0.5000 Co
0.0000 0.5000 0.0000 S
0.5000 0.0000 0.0000 S
0.0000 0.0000 0.5000 N

=====

Record 3
TiCoS2N | the Alexandria database | PBE-GGA | optimized geometry; offset from the most stable computed form = 0.0 meV per atom; total moment = 0.00 μB/atom
1.0
4.5883 0.0000 0.0000
0.0000 4.5883 0.0000
0.0000 0.0000 3.3792
Ti Co S N
1 1 2 1
Direct
0.0000 0.0000 0.0000 Ti
0.5000 0.5000 0.5000 Co
0.0000 0.5000 0.5000 S
0.5000 0.0000 0.5000 S
0.5000 0.5000 0.0000 N

=====

Record 4
TiCoSN2 | the Alexandria database | PBE-GGA | optimized geometry; offset from the most stable computed form = 0.0 meV per atom; total moment = 0.12 μB/atom
1.0
3.6259 0.0000 0.0000
0.0000 3.6259 0.0000
0.0000 0.0000 4.4971
Ti Co S N
1 1 1 2
Direct
0.0000 0.0000 0.0000 Ti
0.5000 0.5000 0.5000 Co
0.5000 0.5000 0.0000 S
0.0000 0.5000 0.5000 N
0.5000 0.0000 0.5000 N

=====

Record 5
TiCoSN2 | the Alexandria database | PBE-GGA | optimized geometry; offset from the most stable computed form = 71.7 meV per atom; total moment = 0.56 μB/atom
1.0
3.8006 0.0000 0.0000
0.0000 3.8006 0.0000
0.0000 0.0000 5.1023
Ti Co S N
1 1 1 2
Direct
0.0000 0.0000 0.0000 Ti
0.5000 0.5000 0.5000 Co
0.0000 0.0000 0.5000 S
0.0000 0.5000 0.0000 N
0.5000 0.0000 0.0000 N

=====

Record 6
VCoS2N | the Alexandria database | PBE-GGA | optimized geometry; offset from the most stable computed form = 0.0 meV per atom; total moment = 0.57 μB/atom
1.0
4.6992 0.0000 0.0000
0.0000 4.6992 0.0000
0.0000 0.0000 3.5866
V Co S N
1 1 2 1
Direct
0.0000 0.0000 0.0000 V
0.5000 0.5000 0.5000 Co
0.0000 0.5000 0.0000 S
0.5000 0.0000 0.0000 S
0.0000 0.0000 0.5000 N

=====

Record 7
VCoS2N | the Alexandria database | PBE-GGA | optimized geometry; offset from the most stable computed form = 92.1 meV per atom; total moment = 0.06 μB/atom
1.0
4.5926 0.0000 0.0000
0.0000 4.5926 0.0000
0.0000 0.0000 3.3532
V Co S N
1 1 2 1
Direct
0.0000 0.0000 0.0000 V
0.5000 0.5000 0.5000 Co
0.0000 0.5000 0.5000 S
0.5000 0.0000 0.5000 S
0.5000 0.5000 0.0000 N

=====

Record 8
YCoS2N | the Alexandria database | PBE-GGA | optimized geometry; offset from the most stable computed form = 0.0 meV per atom; total moment = 0.06 μB/atom
1.0
4.6960 0.0000 0.0000
0.0000 4.6960 0.0000
0.0000 0.0000 3.5153
Y Co S N
1 1 2 1
Direct
0.0000 0.0000 0.0000 Y
0.5000 0.5000 0.5000 Co
0.0000 0.5000 0.5000 S
0.5000 0.0000 0.5000 S
0.5000 0.5000 0.0000 N

=====

Record 9
YCoSN2 | the Alexandria database | PBE-GGA | optimized geometry; offset from the most stable computed form = 1256.1 meV per atom; total moment = 1.20 μB/atom
1.0
4.3742 0.0000 0.0000
0.0000 4.3742 0.0000
0.0000 0.0000 5.4208
Y Co S N
1 1 1 2
Direct
0.0000 0.0000 0.0000 Y
0.5000 0.5000 0.5000 Co
0.0000 0.0000 0.5000 S
0.0000 0.5000 0.0000 N
0.5000 0.0000 0.0000 N

=====

Record 10
YCoS2N | the Alexandria database | PBE-GGA | optimized geometry; offset from the most stable computed form = 1389.4 meV per atom; total moment = 0.53 μB/atom
1.0
5.2364 0.0000 0.0000
0.0000 5.2364 0.0000
0.0000 0.0000 4.2750
Y Co S N
1 1 2 1
Direct
0.0000 0.0000 0.0000 Y
0.5000 0.5000 0.5000 Co
0.0000 0.5000 0.0000 S
0.5000 0.0000 0.0000 S
0.0000 0.0000 0.5000 N

=====

Record 11
YCoSN2 | the Alexandria database | PBE-GGA | optimized geometry; offset from the most stable computed form = 0.0 meV per atom; total moment = 0.51 μB/atom
1.0
3.8123 0.0000 0.0000
0.0000 3.8123 0.0000
0.0000 0.0000 4.5776
Y Co S N
1 1 1 2
Direct
0.0000 0.0000 0.0000 Y
0.5000 0.5000 0.5000 Co
0.5000 0.5000 0.0000 S
0.0000 0.5000 0.5000 N
0.5000 0.0000 0.5000 N

=====

Record 12
ZnCoS2N | the Alexandria database | PBE-GGA | optimized geometry; total moment = 0.00 μB/atom
1.0
4.7192 0.0000 0.0000
0.0000 4.7192 0.0000
0.0000 0.0000 3.3537
Zn Co S N
1 1 2 1
Direct
0.0000 0.0000 0.0000 Zn
0.5000 0.5000 0.5000 Co
0.0000 0.5000 0.5000 S
0.5000 0.0000 0.5000 S
0.5000 0.5000 0.0000 N

=====

Listing uncorrected energy for the structures above in their given order: -22.87 -30.05 -31.10 -33.20 -32.84 -30.91 -30.45 -33.16 -28.40 -26.21 -34.68 -22.94 eV per cell.
Listing calculated volume for the structures above in their given order: 16.5 17.3 14.2 11.8 14.7 15.8 14.1 15.5 20.7 23.4 13.3 14.9 A^3/atom.
Listing ΔE_f (raw) for the structures above in their given order: 8.2 1.5 0.5 2.6 2.9 1.9 2.4 -3.0 6.0 3.9 -0.3 2.0 eV/f.u..